1.
# ScMoRu2

An optimized crystal structure of ScMoRu2 (PBE, the Alexandria database).

## Properties
**Electronic total energy**: -8.92 eV per atom

Cell: 3.1824 4.2017 4.7006 Å, 90.00 90.00 90.00°
Space group Pmmm (No. 47)
Unique sites:
Sc (0.0000, 0.0000, 0.0000) x1
Mo (0.5000, 0.0000, 0.5000) x1
Ru (0.0000, 0.5000, 0.5000) x1
Ru (0.5000, 0.5000, 0.0000) x1

***

2.
# Sc2MoRu

An optimized crystal structure of Sc2MoRu (PBE, the Alexandria database).

## Properties
**Electronic total energy**: -8.15 eV per atom
**Excess energy over the best structure of this formula in the dataset**: 234 meV per atom

Cell: 3.0229 4.3753 5.3730 Å, 90.00 90.00 90.00°
Space group Pmm2 (No. 25)
Unique sites:
Sc (0.0000, 0.0000, 0.0000) x1
Sc (0.5000, 0.5000, 0.2790) x1
Mo (0.0000, 0.0000, 0.5311) x1
Ru (0.5000, 0.5000, 0.7463) x1